Record 1
{"formula": "Rb2WICl", "functional": "GGA-PBE", "state": "optimized geometry", "cell": [[-0.085, 6.921, 1.592], [-2.596, -1.099, 4.637], [6.237, -0.689, 3.328]], "species": ["Rb", "Rb", "W", "Cl", "I"], "frac_coords": [[0.500, 0.000, 0.000], [0.000, 0.000, 0.500], [0.000, 0.500, 0.000], [0.500, 0.500, 0.500], [0.000, 0.000, 0.000]], "final_energy_ev_per_atom": -3.2939}



Record 2
{"formula": "Pm3Er5Se8", "functional": "GGA-PBE", "state": "optimized geometry", "cell": [[7.062, 0.000, 4.045], [2.373, 6.652, 4.045], [-0.041, -0.029, 8.259]], "species": ["Er", "Se", "Er", "Se", "Se", "Se", "Se", "Er", "Se", "Er", "Pm", "Pm", "Se", "Pm", "Se", "Er"], "frac_coords": [[0.000, 0.500, 0.000], [0.260, 0.750, 0.239], [0.500, 0.000, 0.000], [0.250, 0.740, 0.761], [0.745, 0.745, 0.766], [0.255, 0.255, 0.234], [0.250, 0.250, 0.761], [0.500, 0.500, 0.000], [0.750, 0.260, 0.239], [0.000, 0.000, 0.000], [0.000, 0.500, 0.500], [0.500, 0.000, 0.500], [0.740, 0.250, 0.761], [0.000, 0.000, 0.500], [0.750, 0.750, 0.239], [0.500, 0.500, 0.500]], "final_energy_ev_per_atom": -5.8025}



Record 3
{"formula": "Rb2CrAg", "functional": "GGA-PBE", "state": "optimized geometry", "cell": [[4.678, 1.128, 3.851], [-0.565, 4.330, 4.349], [-0.429, -1.626, 5.929]], "species": ["Rb", "Cr", "Ag", "Rb"], "frac_coords": [[0.750, 0.750, 0.750], [0.000, 0.000, 0.000], [0.500, 0.500, 0.500], [0.250, 0.250, 0.250]], "delta_e_f_kj_per_mol_fu": 279}



Record 4
{"formula": "Ac2ScSn4Ir3", "functional": "GGA-PBE", "state": "optimized geometry", "cell": [[-2.726, -0.098, -3.615], [-3.566, -0.676, 2.708], [-1.553, 11.622, 0.855]], "species": ["Sc", "Ir", "Sn", "Sn", "Ir", "Ir", "Sn", "Sn", "Ac", "Ac"], "frac_coords": [[0.500, 0.500, 0.500], [0.000, 0.500, 0.126], [0.500, 0.000, 0.646], [0.000, 0.000, 0.000], [0.500, 0.000, 0.874], [0.000, 0.000, 0.500], [0.500, 0.500, 0.000], [0.000, 0.500, 0.354], [0.000, 0.500, 0.761], [0.500, 0.000, 0.239]], "delta_e_f_kj_per_mol_fu": -597}



Record 5
{"formula": "BeSb2PtCl", "functional": "GGA-PBE", "state": "optimized geometry", "cell": [[5.052, 0.000, 0.000], [0.000, 4.002, 0.000], [0.000, 0.000, 5.052]], "species": ["Sb", "Be", "Pt", "Cl", "Sb"], "frac_coords": [[0.500, 0.000, 0.000], [0.000, 0.000, 0.000], [0.500, 0.500, 0.500], [0.000, 0.500, 0.000], [0.000, 0.000, 0.500]], "final_energy_ev_per_atom": -3.6410}



Record 6
{"formula": "TaMn2Zn", "functional": "GGA-PBE", "state": "optimized geometry", "cell": [[8.895, -0.030, -0.018], [8.469, 2.717, -0.018], [8.469, 1.311, 2.380]], "species": ["Ta", "Mn", "Zn", "Mn"], "frac_coords": [[0.503, 0.503, 0.503], [0.258, 0.258, 0.258], [0.744, 0.744, 0.744], [0.995, 0.995, 0.995]], "delta_e_f_kj_per_mol_fu": 88}



no.,M_tot (μB/f.u.)
1,4.379
2,0.000
3,5.144
4,0.000
5,0.000
6,0.280